No. 1
# AcNdEuGa

AcNdEuGa after structural relaxation (PBE, Alexandria via LeMat-Bulk).

```
data_AcNdEuGa
_space_group_name_H-M_alt 'F -4 3 m'
_space_group_IT_number 216
_space_group_name_Hall 'F -4 2 3'
_cell_length_a 8.009
_cell_length_b 8.009
_cell_length_c 8.009
_cell_angle_alpha 90.00
_cell_angle_beta 90.00
_cell_angle_gamma 90.00
loop_
_atom_site_label
_atom_site_type_symbol
_atom_site_fract_x
_atom_site_fract_y
_atom_site_fract_z
Ac1 Ac 0.000 0.000 0.000
Nd1 Nd 0.250 0.250 0.250
Eu1 Eu 0.250 0.250 0.750
Ga1 Ga 0.000 0.000 0.500
```

Computed properties:
Total moment (μB per atom): 1.9985
Total energy (eV per cell): -88.2

No. 2
# HfMg2Rh3

HfMg2Rh3 after structural relaxation (PBE, Alexandria via LeMat-Bulk).

```
data_HfMg2Rh3
_space_group_name_H-M_alt 'P 4/m m m'
_space_group_IT_number 123
_space_group_name_Hall '-P 4 2'
_cell_length_a 3.200
_cell_length_b 3.200
_cell_length_c 9.367
_cell_angle_alpha 90.00
_cell_angle_beta 90.00
_cell_angle_gamma 90.00
loop_
_atom_site_label
_atom_site_type_symbol
_atom_site_fract_x
_atom_site_fract_y
_atom_site_fract_z
Hf1 Hf 0.000 0.000 0.000
Mg1 Mg 0.000 0.000 0.344
Rh1 Rh 0.500 0.500 0.166
Rh2 Rh 0.500 0.500 0.500
```

Computed properties:
Polymorph energy (0 for the lowest one) (kJ/mol of atoms): 2.7
Total moment (μB per atom): 0.0000

No. 3
# La2Zn2SbRh5

La2Zn2SbRh5 after structural relaxation (PBE, Alexandria via LeMat-Bulk).

```
data_La2Zn2SbRh5
_space_group_name_H-M_alt 'P 4/m b m'
_space_group_IT_number 127
_space_group_name_Hall '-P 4 2ab'
_cell_length_a 9.895
_cell_length_b 9.895
_cell_length_c 3.706
_cell_angle_alpha 90.00
_cell_angle_beta 90.00
_cell_angle_gamma 90.00
loop_
_atom_site_label
_atom_site_type_symbol
_atom_site_fract_x
_atom_site_fract_y
_atom_site_fract_z
La1 La 0.175 0.325 0.000
Zn1 Zn 0.122 0.622 0.000
Sb1 Sb 0.000 0.000 0.000
Rh1 Rh 0.000 0.500 0.500
Rh2 Rh 0.066 0.793 0.500
```

Computed properties:
Total moment (μB per atom): 0.0000
Total energy (eV per cell): -119.2

No. 4
# V2NiPd8

V2NiPd8 after structural relaxation (PBE, Alexandria via LeMat-Bulk).

```
data_V2NiPd8
_space_group_name_H-M_alt 'C 1 2/m 1'
_space_group_IT_number 12
_cell_length_a 13.869
_cell_length_b 3.934
_cell_length_c 6.165
_cell_angle_alpha 90.00
_cell_angle_beta 106.15
_cell_angle_gamma 90.00
loop_
_space_group_symop_operation_xyz
'x,y,z'
'-x,-y,-z'
'-x,y,-z'
'x,-y,z'
'x+1/2,y+1/2,z'
'-x+1/2,-y+1/2,-z'
'-x+1/2,y+1/2,-z'
'x+1/2,-y+1/2,z'
loop_
_atom_site_label
_atom_site_type_symbol
_atom_site_fract_x
_atom_site_fract_y
_atom_site_fract_z
V1 V 0.223 0.000 0.148
Ni1 Ni 0.000 0.500 0.500
Pd1 Pd 0.045 0.000 0.233
Pd2 Pd 0.099 0.500 0.955
Pd3 Pd 0.144 0.000 0.699
Pd4 Pd 0.180 0.500 0.415
```

Computed properties:
Polymorph energy (0 for the lowest one) (kJ/mol of atoms): 0.0
Total moment (μB per atom): 0.2498

No. 5
# ErGaHg

ErGaHg after structural relaxation (PBE, Alexandria via LeMat-Bulk).

```
data_ErGaHg
_space_group_name_H-M_alt 'P 3 m 1'
_space_group_IT_number 156
_cell_length_a 4.6283
_cell_length_b 4.6283
_cell_length_c 3.5563
_cell_angle_alpha 90.00
_cell_angle_beta 90.00
_cell_angle_gamma 120.00
loop_
_space_group_symop_operation_xyz
'x,y,z'
'-y,x-y,z'
'-x+y,-x,z'
'-y,-x,z'
'-x+y,y,z'
'x,x-y,z'
loop_
_atom_site_label
_atom_site_type_symbol
_atom_site_fract_x
_atom_site_fract_y
_atom_site_fract_z
Er1 Er 0.0000 0.0000 0.0000
Ga1 Ga 0.3333 0.6667 0.4962
Hg1 Hg 0.6667 0.3333 0.5021
```

Computed properties:
Polymorph energy (0 for the lowest one) (kJ/mol of atoms): 0.4
Total moment (μB per atom): 0.0000

No. 6
# Pr2LuTl

Pr2LuTl after structural relaxation (PBE, Alexandria via LeMat-Bulk).

```
data_Pr2LuTl
_space_group_name_H-M_alt 'P 4/m m m'
_space_group_IT_number 123
_space_group_name_Hall '-P 4 2'
_cell_length_a 4.920
_cell_length_b 4.920
_cell_length_c 5.019
_cell_angle_alpha 90.00
_cell_angle_beta 90.00
_cell_angle_gamma 90.00
loop_
_atom_site_label
_atom_site_type_symbol
_atom_site_fract_x
_atom_site_fract_y
_atom_site_fract_z
Pr1 Pr 0.000 0.500 0.000
Lu1 Lu 0.000 0.000 0.500
Tl1 Tl 0.500 0.500 0.500
```

Computed properties:
Polymorph energy (0 for the lowest one) (kJ/mol of atoms): 0.0
Total moment (μB per atom): 0.0000

No. 7
# BaCe2NpN5

BaCe2NpN5 after structural relaxation (PBE, Alexandria via LeMat-Bulk).

```
data_BaCe2NpN5
_space_group_name_H-M_alt 'I m m m'
_space_group_IT_number 71
_space_group_name_Hall '-I 2 2'
_cell_length_a 4.164
_cell_length_b 6.179
_cell_length_c 11.776
_cell_angle_alpha 90.00
_cell_angle_beta 90.00
_cell_angle_gamma 90.00
loop_
_atom_site_label
_atom_site_type_symbol
_atom_site_fract_x
_atom_site_fract_y
_atom_site_fract_z
Ba1 Ba 0.000 0.000 0.000
Ce1 Ce 0.000 0.500 0.222
Np1 Np 0.000 0.000 0.500
N1 N 0.000 0.232 0.356
N2 N 0.000 0.500 0.000
```

Computed properties:
Total moment (μB per atom): 0.2318
Total energy (eV per cell): -158.1

No. 8
# K3Nb2Se11

K3Nb2Se11 after structural relaxation (PBE, Alexandria via LeMat-Bulk).

```
data_K3Nb2Se11
_space_group_name_H-M_alt 'P 1 21/c 1'
_space_group_IT_number 14
_cell_length_a 8.112
_cell_length_b 9.321
_cell_length_c 26.660
_cell_angle_alpha 90.00
_cell_angle_beta 100.05
_cell_angle_gamma 90.00
loop_
_space_group_symop_operation_xyz
'x,y,z'
'-x,-y,-z'
'-x,y+1/2,-z+1/2'
'x,-y+1/2,z+1/2'
loop_
_atom_site_label
_atom_site_type_symbol
_atom_site_fract_x
_atom_site_fract_y
_atom_site_fract_z
K1 K 0.204 0.240 0.488
K2 K 0.252 0.192 0.684
K3 K 0.265 0.723 0.673
Nb1 Nb 0.215 0.667 0.920
Nb2 Nb 0.321 0.552 0.329
Se1 Se 0.014 0.001 0.588
Se2 Se 0.016 0.554 0.274
Se3 Se 0.056 0.593 0.392
Se4 Se 0.127 0.175 0.803
Se5 Se 0.162 0.628 0.482
Se6 Se 0.243 0.665 0.821
Se7 Se 0.402 0.594 0.007
Se8 Se 0.444 0.531 0.880
Se9 Se 0.470 0.101 0.904
Se10 Se 0.484 0.154 0.092
Se11 Se 0.490 0.548 0.263
```

Computed properties:
Total moment (μB per atom): 0.0000
Total energy (eV per cell): -295.7

No. 9
# TlCrTe2

TlCrTe2 after structural relaxation (PBE, Alexandria via LeMat-Bulk).

```
data_TlCrTe2
_space_group_name_H-M_alt 'F -4 3 m'
_space_group_IT_number 216
_space_group_name_Hall 'F -4 2 3'
_cell_length_a 7.571
_cell_length_b 7.571
_cell_length_c 7.571
_cell_angle_alpha 90.00
_cell_angle_beta 90.00
_cell_angle_gamma 90.00
loop_
_atom_site_label
_atom_site_type_symbol
_atom_site_fract_x
_atom_site_fract_y
_atom_site_fract_z
Tl1 Tl 0.000 0.000 0.000
Cr1 Cr 0.250 0.250 0.750
Te1 Te 0.000 0.000 0.500
Te2 Te 0.250 0.250 0.250
```

Computed properties:
Total moment (μB per atom): 1.0914
Total energy (eV per cell): -65.9

No. 10
# Ga3ClF

Ga3ClF after structural relaxation (PBE, Alexandria via LeMat-Bulk).

```
data_Ga3ClF
_space_group_name_H-M_alt 'P m -3 m'
_space_group_IT_number 221
_space_group_name_Hall '-P 4 2 3'
_cell_length_a 4.924
_cell_length_b 4.924
_cell_length_c 4.924
_cell_angle_alpha 90.00
_cell_angle_beta 90.00
_cell_angle_gamma 90.00
loop_
_atom_site_label
_atom_site_type_symbol
_atom_site_fract_x
_atom_site_fract_y
_atom_site_fract_z
Ga1 Ga 0.000 0.000 0.500
Cl1 Cl 0.500 0.500 0.500
F1 F 0.000 0.000 0.000
```

Computed properties:
Polymorph energy (0 for the lowest one) (kJ/mol of atoms): 0.0
Total moment (μB per atom): 0.0000

No. 11
# MoAs4Pb

MoAs4Pb after structural relaxation (PBE, Alexandria via LeMat-Bulk).

```
data_MoAs4Pb
_space_group_name_H-M_alt 'F -4 3 m'
_space_group_IT_number 216
_space_group_name_Hall 'F -4 2 3'
_cell_length_a 7.944
_cell_length_b 7.944
_cell_length_c 7.944
_cell_angle_alpha 90.00
_cell_angle_beta 90.00
_cell_angle_gamma 90.00
loop_
_atom_site_label
_atom_site_type_symbol
_atom_site_fract_x
_atom_site_fract_y
_atom_site_fract_z
Mo1 Mo 0.000 0.000 0.000
As1 As 0.126 0.126 0.374
Pb1 Pb 0.250 0.250 0.750
```

Computed properties:
Total moment (μB per atom): 0.3892
Total energy (eV per cell): -115.4

No. 12
# NaMnCr

NaMnCr after structural relaxation (PBE, Alexandria via LeMat-Bulk).

```
data_NaMnCr
_space_group_name_H-M_alt 'I m m 2'
_space_group_IT_number 44
_cell_length_a 3.098
_cell_length_b 3.136
_cell_length_c 11.465
_cell_angle_alpha 90.00
_cell_angle_beta 90.00
_cell_angle_gamma 90.00
loop_
_space_group_symop_operation_xyz
'x,y,z'
'-x,-y,z'
'-x,y,z'
'x,-y,z'
'x+1/2,y+1/2,z+1/2'
'-x+1/2,-y+1/2,z+1/2'
'-x+1/2,y+1/2,z+1/2'
'x+1/2,-y+1/2,z+1/2'
loop_
_atom_site_label
_atom_site_type_symbol
_atom_site_fract_x
_atom_site_fract_y
_atom_site_fract_z
Na1 Na 0.000 0.000 0.000
Mn1 Mn 0.000 0.000 0.706
Cr1 Cr 0.000 0.000 0.290
```

Computed properties:
Polymorph energy (0 for the lowest one) (kJ/mol of atoms): 14.8
Total moment (μB per atom): 0.0430